[1]
First-principles (PBE-GGA) data for BeTc2Sb after structural relaxation, as listed in Alexandria.

abc: 3.098 4.203 4.667
angles: 90.00 90.00 90.00
Atoms (fractional coordinates):
1 Be 0.000 0.000 0.000
2 Tc 0.000 0.500 0.500
3 Tc 0.500 0.500 0.000
4 Sb 0.500 0.000 0.500

Summary:
Its formation energy from raw total energies is 0.4366 eV/atom. As for the calculated density: 8.930 g/cm³. For the energy above the most stable polymorph in this dataset, the calculation gives 0.420 eV per atom. Its symmetry is Pmmm, No. 47.



[2]
First-principles (PBE-GGA) data for BeTc2Sb after structural relaxation, as listed in Alexandria.

abc: 3.102 3.404 5.647
angles: 90.00 99.01 90.00
Atoms (fractional coordinates):
1 Be 0.000 0.000 0.000
2 Tc 0.372 0.500 0.218
3 Tc 0.628 0.500 0.782
4 Sb 0.000 0.000 0.500

Summary:
Its formation energy from raw total energies is 0.2024 eV/atom. As for the calculated density: 9.214 g/cm³. For the energy above the most stable polymorph in this dataset, the calculation gives 0.186 eV per atom. Its symmetry is P2/m, No. 10.